P | The following is a DFT calculation (PBE-GGA) of an optimized crystal structure of KCuClF2.

```
data_KCuClF2
_symmetry_space_group_name_H-M 'P 4/m m m'
_symmetry_Int_Tables_number 123
_symmetry_space_group_name_Hall '-P 4 2'
_cell_length_a 4.198
_cell_length_b 4.198
_cell_length_c 4.676
_cell_angle_alpha 90.00
_cell_angle_beta 90.00
_cell_angle_gamma 90.00
loop_
_atom_site_label
_atom_site_fract_x
_atom_site_fract_y
_atom_site_fract_z
K1 0.000 0.000 0.000
Cu1 0.500 0.500 0.500
Cl1 0.500 0.500 0.000
F1 0.000 0.500 0.500
```

Calculated density, g cm⁻³: 3.547

Q | The following is a DFT calculation (PBE-GGA) of an optimized crystal structure of KCuClF2.

```
data_KCuClF2
_symmetry_space_group_name_H-M 'P 4/m m m'
_symmetry_Int_Tables_number 123
_symmetry_space_group_name_Hall '-P 4 2'
_cell_length_a 4.388
_cell_length_b 4.388
_cell_length_c 7.445
_cell_angle_alpha 90.00
_cell_angle_beta 90.00
_cell_angle_gamma 90.00
loop_
_atom_site_label
_atom_site_fract_x
_atom_site_fract_y
_atom_site_fract_z
K1 0.000 0.000 0.000
Cu1 0.000 0.000 0.500
Cl1 0.500 0.500 0.500
F1 0.000 0.500 0.000
```

Calculated density, g cm⁻³: 2.040

How do the energies compare? Relative to the most stable structure, in meV/atom: P 0; Q 1163.

P | The following is a DFT calculation (PBE-GGA) of an optimized crystal structure of K2CuCl2F2.

```
data_K2CuCl2F2
_symmetry_space_group_name_H-M 'C m c e'
_symmetry_Int_Tables_number 64
_symmetry_space_group_name_Hall '-C 2ac 2'
_cell_length_a 14.874
_cell_length_b 6.319
_cell_length_c 6.323
_cell_angle_alpha 90.00
_cell_angle_beta 90.00
_cell_angle_gamma 90.00
loop_
_atom_site_label
_atom_site_fract_x
_atom_site_fract_y
_atom_site_fract_z
K1 0.123 0.000 0.000
Cu1 0.000 0.000 0.500
Cl1 0.157 0.000 0.500
F1 0.000 0.216 0.284
```

Calculated density, g cm⁻³: 2.801

Q | The following is a DFT calculation (PBE-GGA) of an optimized crystal structure of K2CuCl2F2.

```
data_K2CuCl2F2
_symmetry_space_group_name_H-M 'I 4/m m m'
_symmetry_Int_Tables_number 139
_symmetry_space_group_name_Hall '-I 4 2'
_cell_length_a 4.359
_cell_length_b 4.359
_cell_length_c 14.971
_cell_angle_alpha 90.00
_cell_angle_beta 90.00
_cell_angle_gamma 90.00
loop_
_atom_site_label
_atom_site_fract_x
_atom_site_fract_y
_atom_site_fract_z
K1 0.000 0.000 0.123
Cu1 0.000 0.000 0.500
Cl1 0.000 0.000 0.345
F1 0.000 0.500 0.000
```

Calculated density, g cm⁻³: 2.927

R | The following is a DFT calculation (PBE-GGA) of an optimized crystal structure of K2CuCl2F2.

```
data_K2CuCl2F2
_symmetry_space_group_name_H-M 'I 4/m m m'
_symmetry_Int_Tables_number 139
_symmetry_space_group_name_Hall '-I 4 2'
_cell_length_a 5.023
_cell_length_b 5.023
_cell_length_c 12.745
_cell_angle_alpha 90.00
_cell_angle_beta 90.00
_cell_angle_gamma 90.00
loop_
_atom_site_label
_atom_site_fract_x
_atom_site_fract_y
_atom_site_fract_z
K1 0.000 0.000 0.152
Cu1 0.000 0.000 0.500
Cl1 0.000 0.500 0.000
F1 0.000 0.000 0.349
```

Calculated density, g cm⁻³: 2.588

How do the energies compare? Relative to the most stable structure, in meV/atom: P 0; Q 24; R 90.